Density functional theory data (PBE) for MgPd5Pt after structural relaxation.

The formation energy comes out at -0.1157 eV per atom. Its electronic total energy is -34.4 eV/cell. Its excess energy over the best structure of this formula in the dataset is 0 meV per atom. For the total magnetization, the calculation gives 0.000 μB/atom. The calculation puts the density of states at the Fermi level at 8.91 states/eV/cell.

```
data_MgPd5Pt
_cell_length_a 3.9289
_cell_length_b 3.9289
_cell_length_c 7.6204
_cell_angle_alpha 90.00
_cell_angle_beta 90.00
_cell_angle_gamma 90.00
_symmetry_space_group_name_H-M 'P 1'
_symmetry_Int_Tables_number 1
_symmetry_space_group_name_Hall 'P 1'
loop_
_atom_site_label
_atom_site_fract_x
_atom_site_fract_y
_atom_site_fract_z
Mg1 0.0000 0.0000 0.0000
Pd1 0.0000 0.5000 0.2669
Pd2 0.0000 0.5000 0.7331
Pd3 0.5000 0.0000 0.2669
Pd4 0.5000 0.0000 0.7331
Pd5 0.5000 0.5000 0.0000
Pt1 0.0000 0.0000 0.5000
```